# 1
# SmTmPuMg, relaxed, DFT GGA-PBE
# **E_form**: 15 kJ/mol of atoms
data_SmTmPuMg
_symmetry_space_group_name_H-M 'F -4 3 m'
_symmetry_Int_Tables_number 216
_symmetry_space_group_name_Hall 'F -4 2 3'
_cell_length_a 7.727
_cell_length_b 7.727
_cell_length_c 7.727
_cell_angle_alpha 90.00
_cell_angle_beta 90.00
_cell_angle_gamma 90.00
loop_
_atom_site_label
_atom_site_type_symbol
_atom_site_fract_x
_atom_site_fract_y
_atom_site_fract_z
Sm1 Sm 0.000 0.000 0.000
Tm1 Tm 0.000 0.000 0.500
Pu1 Pu 0.250 0.250 0.750
Mg1 Mg 0.250 0.250 0.250

=====

# 2
# SmPuMgZn, relaxed, DFT GGA-PBE
# **E_form**: 1 kJ/mol of atoms
data_SmPuMgZn
_symmetry_space_group_name_H-M 'F -4 3 m'
_symmetry_Int_Tables_number 216
_symmetry_space_group_name_Hall 'F -4 2 3'
_cell_length_a 7.420
_cell_length_b 7.420
_cell_length_c 7.420
_cell_angle_alpha 90.00
_cell_angle_beta 90.00
_cell_angle_gamma 90.00
loop_
_atom_site_label
_atom_site_type_symbol
_atom_site_fract_x
_atom_site_fract_y
_atom_site_fract_z
Sm1 Sm 0.000 0.000 0.000
Pu1 Pu 0.000 0.000 0.500
Mg1 Mg 0.250 0.250 0.250
Zn1 Zn 0.250 0.250 0.750

=====

# 3
# PuMgSn, relaxed, DFT GGA-PBE
# **E_form**: -7 kJ/mol of atoms
data_PuMgSn
_symmetry_space_group_name_H-M 'F -4 3 m'
_symmetry_Int_Tables_number 216
_symmetry_space_group_name_Hall 'F -4 2 3'
_cell_length_a 7.119
_cell_length_b 7.119
_cell_length_c 7.119
_cell_angle_alpha 90.00
_cell_angle_beta 90.00
_cell_angle_gamma 90.00
loop_
_atom_site_label
_atom_site_type_symbol
_atom_site_fract_x
_atom_site_fract_y
_atom_site_fract_z
Pu1 Pu 0.000 0.000 0.000
Mg1 Mg 0.000 0.000 0.500
Sn1 Sn 0.250 0.250 0.750

=====

# 4
# PuMgSn, relaxed, DFT GGA-PBE
# **E_form**: -23 kJ/mol of atoms
data_PuMgSn
_symmetry_space_group_name_H-M 'P -6 m 2'
_symmetry_Int_Tables_number 187
_symmetry_space_group_name_Hall 'P -6 2'
_cell_length_a 5.0068
_cell_length_b 5.0068
_cell_length_c 3.4925
_cell_angle_alpha 90.00
_cell_angle_beta 90.00
_cell_angle_gamma 120.00
loop_
_atom_site_label
_atom_site_type_symbol
_atom_site_fract_x
_atom_site_fract_y
_atom_site_fract_z
Pu1 Pu 0.0000 0.0000 0.0000
Mg1 Mg 0.3333 0.6667 0.5000
Sn1 Sn 0.6667 0.3333 0.5000

=====

# 5
# PuMg4Sn2, relaxed, DFT GGA-PBE
# **ΔE to the lowest computed polymorph**: 305.6 meV per atom
# **E_form**: 13 kJ/mol of atoms
data_PuMg4Sn2
_symmetry_space_group_name_H-M 'F m m m'
_symmetry_Int_Tables_number 69
_symmetry_space_group_name_Hall '-F 2 2'
_cell_length_a 6.120
_cell_length_b 10.518
_cell_length_c 11.245
_cell_angle_alpha 90.00
_cell_angle_beta 90.00
_cell_angle_gamma 90.00
loop_
_atom_site_label
_atom_site_type_symbol
_atom_site_fract_x
_atom_site_fract_y
_atom_site_fract_z
Pu1 Pu 0.000 0.000 0.000
Mg1 Mg 0.250 0.250 0.000
Mg2 Mg 0.250 0.250 0.250
Sn1 Sn 0.000 0.000 0.363

=====

# 6
# PuMg6Sn4, relaxed, DFT GGA-PBE
# **E_form**: -13 kJ/mol of atoms
data_PuMg6Sn4
_symmetry_space_group_name_H-M 'P -6 m 2'
_symmetry_Int_Tables_number 187
_symmetry_space_group_name_Hall 'P -6 2'
_cell_length_a 8.6036
_cell_length_b 8.6036
_cell_length_c 4.3384
_cell_angle_alpha 90.00
_cell_angle_beta 90.00
_cell_angle_gamma 120.00
loop_
_atom_site_label
_atom_site_type_symbol
_atom_site_fract_x
_atom_site_fract_y
_atom_site_fract_z
Pu1 Pu 0.0000 0.0000 0.0000
Mg1 Mg 0.2014 0.4028 0.5000
Mg2 Mg 0.5373 0.0745 0.0000
Sn1 Sn 0.3333 0.6667 0.0000
Sn2 Sn 0.3612 0.1806 0.5000

=====

# 7
# PuMgSn, relaxed, DFT GGA-PBE
# **E_form**: -12 kJ/mol of atoms
data_PuMgSn
_symmetry_space_group_name_H-M 'I 4 m m'
_symmetry_Int_Tables_number 107
_symmetry_space_group_name_Hall 'I 4 -2'
_cell_length_a 3.368
_cell_length_b 3.368
_cell_length_c 13.404
_cell_angle_alpha 90.00
_cell_angle_beta 90.00
_cell_angle_gamma 90.00
loop_
_atom_site_label
_atom_site_type_symbol
_atom_site_fract_x
_atom_site_fract_y
_atom_site_fract_z
Pu1 Pu 0.000 0.000 0.000
Mg1 Mg 0.000 0.000 0.319
Sn1 Sn 0.000 0.000 0.670

=====

# 8
# PuMgSn, relaxed, DFT GGA-PBE
# **E_form**: -5 kJ/mol of atoms
data_PuMgSn
_symmetry_space_group_name_H-M 'P 1 21/m 1'
_symmetry_Int_Tables_number 11
_symmetry_space_group_name_Hall '-P 2yb'
_cell_length_a 4.789
_cell_length_b 3.476
_cell_length_c 8.372
_cell_angle_alpha 90.00
_cell_angle_beta 101.38
_cell_angle_gamma 90.00
loop_
_atom_site_label
_atom_site_type_symbol
_atom_site_fract_x
_atom_site_fract_y
_atom_site_fract_z
Pu1 Pu 0.107 0.250 0.080
Mg1 Mg 0.231 0.750 0.450
Sn1 Sn 0.345 0.250 0.759

=====

# 9
# PuMgSn2, relaxed, DFT GGA-PBE
# **E_form**: -7 kJ/mol of atoms
data_PuMgSn2
_symmetry_space_group_name_H-M 'R 3 m'
_symmetry_Int_Tables_number 160
_symmetry_space_group_name_Hall 'R 3 -2"'
_cell_length_a 4.5253
_cell_length_b 4.5253
_cell_length_c 19.8842
_cell_angle_alpha 90.00
_cell_angle_beta 90.00
_cell_angle_gamma 120.00
loop_
_atom_site_label
_atom_site_type_symbol
_atom_site_fract_x
_atom_site_fract_y
_atom_site_fract_z
Pu1 Pu 0.0000 0.0000 0.0000
Mg1 Mg 0.0000 0.0000 0.8217
Sn1 Sn 0.0000 0.0000 0.4211
Sn2 Sn 0.0000 0.0000 0.5696

=====

# 10
# PuMgSn2, relaxed, DFT GGA-PBE
# **E_form**: -34 kJ/mol of atoms
data_PuMgSn2
_symmetry_space_group_name_H-M 'P 4/m m m'
_symmetry_Int_Tables_number 123
_symmetry_space_group_name_Hall '-P 4 2'
_cell_length_a 4.723
_cell_length_b 4.723
_cell_length_c 4.422
_cell_angle_alpha 90.00
_cell_angle_beta 90.00
_cell_angle_gamma 90.00
loop_
_atom_site_label
_atom_site_type_symbol
_atom_site_fract_x
_atom_site_fract_y
_atom_site_fract_z
Pu1 Pu 0.000 0.000 0.000
Mg1 Mg 0.500 0.500 0.000
Sn1 Sn 0.000 0.500 0.500

=====

# 11
# Pu3MgSn5, relaxed, DFT GGA-PBE
# **E_form**: -26 kJ/mol of atoms
data_Pu3MgSn5
_symmetry_space_group_name_H-M 'P 63/m c m'
_symmetry_Int_Tables_number 193
_symmetry_space_group_name_Hall '-P 6c 2'
_cell_length_a 9.2233
_cell_length_b 9.2233
_cell_length_c 6.3052
_cell_angle_alpha 90.00
_cell_angle_beta 90.00
_cell_angle_gamma 120.00
loop_
_atom_site_label
_atom_site_type_symbol
_atom_site_fract_x
_atom_site_fract_y
_atom_site_fract_z
Pu1 Pu 0.0000 0.3773 0.2500
Mg1 Mg 0.0000 0.0000 0.0000
Sn1 Sn 0.0000 0.2843 0.7500
Sn2 Sn 0.3333 0.6667 0.0000

=====

# 12
# PuMg2Sn3, relaxed, DFT GGA-PBE
# **ΔE to the lowest computed polymorph**: 0.0 meV per atom
# **E_form**: -26 kJ/mol of atoms
data_PuMg2Sn3
_symmetry_space_group_name_H-M 'C m m m'
_symmetry_Int_Tables_number 65
_symmetry_space_group_name_Hall '-C 2 2'
_cell_length_a 4.642
_cell_length_b 14.163
_cell_length_c 4.436
_cell_angle_alpha 90.00
_cell_angle_beta 90.00
_cell_angle_gamma 90.00
loop_
_atom_site_label
_atom_site_type_symbol
_atom_site_fract_x
_atom_site_fract_y
_atom_site_fract_z
Pu1 Pu 0.000 0.000 0.000
Mg1 Mg 0.000 0.329 0.000
Sn1 Sn 0.000 0.168 0.500
Sn2 Sn 0.000 0.500 0.500

=====

# 13
# PuMg3Sn2, relaxed, DFT GGA-PBE
# **E_form**: -17 kJ/mol of atoms
data_PuMg3Sn2
_symmetry_space_group_name_H-M 'I m m m'
_symmetry_Int_Tables_number 71
_symmetry_space_group_name_Hall '-I 2 2'
_cell_length_a 4.719
_cell_length_b 9.227
_cell_length_c 14.105
_cell_angle_alpha 90.00
_cell_angle_beta 90.00
_cell_angle_gamma 90.00
loop_
_atom_site_label
_atom_site_type_symbol
_atom_site_fract_x
_atom_site_fract_y
_atom_site_fract_z
Pu1 Pu 0.000 0.000 0.124
Mg1 Mg 0.000 0.206 0.318
Mg2 Mg 0.000 0.340 0.000
Sn1 Sn 0.000 0.340 0.500
Sn2 Sn 0.000 0.500 0.199

=====

# 14
# PuMg2Sn3, relaxed, DFT GGA-PBE
# **ΔE to the lowest computed polymorph**: 295.1 meV per atom
# **E_form**: 3 kJ/mol of atoms
data_PuMg2Sn3
_symmetry_space_group_name_H-M 'C m c m'
_symmetry_Int_Tables_number 63
_symmetry_space_group_name_Hall '-C 2c 2'
_cell_length_a 11.498
_cell_length_b 10.046
_cell_length_c 6.147
_cell_angle_alpha 90.00
_cell_angle_beta 90.00
_cell_angle_gamma 90.00
loop_
_atom_site_label
_atom_site_type_symbol
_atom_site_fract_x
_atom_site_fract_y
_atom_site_fract_z
Pu1 Pu 0.000 0.209 0.250
Mg1 Mg 0.139 0.500 0.000
Sn1 Sn 0.000 0.307 0.750
Sn2 Sn 0.148 0.063 0.750

=====

Number 1: VASP energy -6.1257 eV/atom. Number 2: VASP energy -5.4747 eV/atom. Number 3: VASP energy -6.7149 eV/atom. Number 4: VASP energy -6.8793 eV/atom. Number 5: VASP energy -3.9631 eV/atom. Number 6: VASP energy -3.7637 eV/atom. Number 7: VASP energy -6.7669 eV/atom. Number 8: VASP energy -6.6973 eV/atom. Number 9: VASP energy -6.0550 eV/atom. Number 10: VASP energy -6.3330 eV/atom. Number 11: VASP energy -7.4520 eV/atom. Number 12: VASP energy -5.1880 eV/atom. Number 13: VASP energy -4.6975 eV/atom. Number 14: VASP energy -4.8929 eV/atom.